# KSbOs2

A relaxed structure of KSbOs2 (PBEsol, Alexandria).

extended XYZ file:
```
4
Lattice="2.885 0.000 0.000 0.000 3.900 0.000 0.000 0.000 7.644" Properties=species:S:1:pos:R:3 pbc="T T T"
K 0.000 0.000 0.000
Sb 0.000 0.000 3.822
Os 1.443 1.950 2.538
Os 1.443 1.950 5.105
```

Calculated values
- crystal system = orthorhombic
- total energy (eV per atom) = -6.319
- spin magnetization (μB/atom) = 0.000